## La7Co3 (GGA-PBE)

Data for a relaxed structure of La7Co3.

The calculation puts the formation energy from the elements at -0.116 eV/atom. The value obtained for the total magnetization is 0.00 Bohr magnetons per cell. For the energy, the calculation gives -56.969 eV per formula unit. The density of states at the Fermi level is 1.1906 states/eV/atom.

abc: 6.543 9.861 9.861
angles: 120.00 90.00 90.00
Atoms (fractional coordinates):
1 La 0.164 0.667 0.333
2 La 0.664 0.333 0.667
3 La 0.918 0.875 0.751
4 La 0.918 0.875 0.125
5 La 0.918 0.249 0.125
6 La 0.418 0.125 0.249
7 La 0.418 0.125 0.875
8 La 0.418 0.751 0.875
9 La 0.109 0.462 0.924
10 La 0.109 0.462 0.538
11 La 0.109 0.076 0.538
12 La 0.609 0.538 0.076
13 La 0.609 0.538 0.462
14 La 0.609 0.924 0.462
15 Co 0.887 0.186 0.371
16 Co 0.887 0.186 0.814
17 Co 0.887 0.629 0.814
18 Co 0.387 0.814 0.629
19 Co 0.387 0.814 0.186
20 Co 0.387 0.371 0.186


## U2Se3 (GGA-PBE)

Data for a relaxed structure of U2Se3.

The value obtained for the total magnetization is 22.86 Bohr magnetons per cell. For the energy, the calculation gives -38.864 eV per formula unit. The density of states at the Fermi level is 2.3968 states/eV/atom. For the uncorrected formation energy, the calculation gives -1.167 eV per atom.

abc: 4.034 7.688 15.652
angles: 90.00 90.00 90.00
Last column: magnetic moment on the atom in μB.
Atoms (fractional coordinates):
1 U 0.750 0.240 0.541  2.61
2 U 0.750 0.740 0.959  2.61
3 U 0.250 0.760 0.459  2.61
4 U 0.250 0.260 0.041  2.61
5 U 0.750 0.896 0.210  2.63
6 U 0.750 0.396 0.290  2.63
7 U 0.250 0.104 0.790  2.63
8 U 0.250 0.604 0.710  2.63
9 Se 0.750 0.999 0.394  -0.08
10 Se 0.750 0.499 0.106  -0.08
11 Se 0.250 0.001 0.606  -0.08
12 Se 0.250 0.501 0.894  -0.08
13 Se 0.750 0.831 0.777  -0.07
14 Se 0.750 0.331 0.723  -0.07
15 Se 0.250 0.169 0.223  -0.07
16 Se 0.250 0.669 0.277  -0.07
17 Se 0.750 0.622 0.572  -0.07
18 Se 0.750 0.122 0.928  -0.07
19 Se 0.250 0.378 0.428  -0.07
20 Se 0.250 0.878 0.072  -0.07


## PmRe2O8 (GGA-PBE)

Data for a relaxed structure of PmRe2O8.

The value obtained for the total magnetization is 0.78 Bohr magnetons per cell. For the energy, the calculation gives -90.008 eV per formula unit. The energy above the most stable polymorph in this dataset comes out at 165 meV/atom. The density of states at the Fermi level is 0.4571 states/eV/atom. For the uncorrected formation energy, the calculation gives -1.881 eV per atom.

abc: 6.001 6.258 6.258
angles: 57.47 76.06 76.06
Last column: magnetic moment on the atom in μB.
Atoms (fractional coordinates):
1 Pm 0.000 0.000 0.000  0.05
2 Re 0.318 0.198 0.198  0.24
3 Re 0.682 0.802 0.802  0.24
4 O 0.805 0.092 0.655  0.03
5 O 0.195 0.345 0.908  0.03
6 O 0.629 0.146 0.146  0.00
7 O 0.371 0.854 0.854  0.00
8 O 0.805 0.655 0.092  0.03
9 O 0.195 0.908 0.345  0.03
10 O 0.217 0.363 0.363  0.01
11 O 0.783 0.637 0.637  0.01


## UReSb2 (GGA-PBE)

Data for a relaxed structure of UReSb2.

The value obtained for the total magnetization is 2.44 Bohr magnetons per cell. For the energy, the calculation gives -30.394 eV per formula unit. The density of states at the Fermi level is 2.2769 states/eV/atom. For the uncorrected formation energy, the calculation gives 0.397 eV per atom.

abc: 5.116 5.116 4.839
angles: 58.09 58.09 60.00
Last column: magnetic moment on the atom in μB.
Atoms (fractional coordinates):
1 Re 0.000 0.000 0.000  0.00
2 U 0.500 0.500 0.500  2.21
3 Sb 0.242 0.242 0.274  0.00
4 Sb 0.758 0.758 0.726  0.00


## CoTc2W (GGA-PBE)

Data for a relaxed structure of CoTc2W.

The calculation puts the formation energy from the elements at 0.164 eV/atom. The value obtained for the total magnetization is 2.37 Bohr magnetons per cell. For the energy, the calculation gives -40.136 eV per formula unit. The energy above the most stable polymorph in this dataset comes out at 131 meV/atom. The density of states at the Fermi level is 1.4100 states/eV/atom.

abc: 4.325 4.325 4.325
angles: 60.00 60.00 60.00
Last column: magnetic moment on the atom in μB.
Atoms (fractional coordinates):
1 Co 0.000 0.000 0.000  1.64
2 Tc 0.250 0.250 0.250  0.36
3 Tc 0.750 0.750 0.750  0.36
4 W 0.500 0.500 0.500  -0.02


## CrCu2S (GGA-PBE)

Data for a relaxed structure of CrCu2S.

The value obtained for the total magnetization is 6.78 Bohr magnetons per cell. For the energy, the calculation gives -21.052 eV per formula unit. The energy above the most stable polymorph in this dataset comes out at 0 meV/atom. The density of states at the Fermi level is 0.9753 states/eV/atom. For the uncorrected formation energy, the calculation gives 0.223 eV per atom.

abc: 7.065 7.065 5.514
angles: 50.16 50.16 90.00
Last column: magnetic moment on the atom in μB.
Atoms (fractional coordinates):
1 Cr 0.000 0.000 0.000  3.18
2 Cr 0.750 0.250 0.500  3.18
3 S 0.500 0.500 0.000  -0.05
4 S 0.250 0.750 0.500  -0.05
5 Cu 0.575 0.125 0.250  0.01
6 Cu 0.175 0.625 0.250  0.01
7 Cu 0.375 0.425 0.750  0.02
8 Cu 0.875 0.825 0.750  0.02


## LaNi2Br (GGA-PBE)

Data for a relaxed structure of LaNi2Br.

The value obtained for the total magnetization is 0.00 Bohr magnetons per cell. For the energy, the calculation gives -19.158 eV per formula unit. The energy above the most stable polymorph in this dataset comes out at 229 meV/atom. The density of states at the Fermi level is 0.6924 states/eV/atom. For the uncorrected formation energy, the calculation gives -0.249 eV per atom.

abc: 3.910 3.872 6.082
angles: 89.21 90.00 90.00
Atoms (fractional coordinates):
1 Br 0.000 0.256 0.499
2 La 0.500 0.751 0.824
3 Ni 0.000 0.246 0.993
4 Ni 0.500 0.247 0.184


## Ge2TeN (GGA-PBE)

Data for a relaxed structure of Ge2TeN.

The value obtained for the total magnetization is 0.00 Bohr magnetons per cell. For the energy, the calculation gives -19.103 eV per formula unit. The energy above the most stable polymorph in this dataset comes out at 0 meV/atom. The density of states at the Fermi level is 0.4435 states/eV/atom. For the uncorrected formation energy, the calculation gives 0.400 eV per atom.

abc: 4.803 4.803 6.532
angles: 68.43 68.43 60.00
Atoms (fractional coordinates):
1 Ge 0.098 0.098 0.705
2 Ge 0.902 0.902 0.295
3 Te 0.500 0.500 0.500
4 N 0.000 0.000 0.000